A) DFT (PBE) results for an optimized crystal structure of PuUBi2.

It has space group P4/mmm (No. 123), with a = 4.150 Å, b = 4.150 Å, c = 6.583 Å, α = 90.00°, β = 90.00° and γ = 90.00°. Symmetry generates all atoms from Pu at (0.000, 0.000, 0.000), U at (0.000, 0.000, 0.500) and Bi at (0.500, 0.500, 0.252).

Its crystal system is tetragonal.

B) DFT (PBE) results for an optimized crystal structure of PuUBi2.

It has space group P4/mmm (No. 123), with a = 5.262 Å, b = 5.262 Å, c = 4.091 Å, α = 90.00°, β = 90.00° and γ = 90.00°. Symmetry generates all atoms from Pu at (0.000, 0.000, 0.000), U at (0.500, 0.500, 0.000) and Bi at (0.000, 0.500, 0.500).

Its crystal system is tetragonal.

A) is favored, and the nearest alternative lies 35 meV per atom above it.